A geometry-optimized PmTePdPt structure. Source: the Alexandria database, functional GGA-PBE.

E_form (uncorrected)   -2.757 eV per formula unit

Unit cell a=6.9901 b=6.9901 c=6.9901 alpha=90.00 beta=90.00 gamma=90.00
Last column: nearest neighbours and their distance in Å.
Space group F-43m (No. 216)
Unique sites:
Pm (0.0000, 0.0000, 0.0000) [4 per cell]  4 Pt 3.03, 4 Pd 3.03
Te (0.0000, 0.0000, 0.5000) [4 per cell]  4 Pd 3.03, 4 Pt 3.03
Pd (0.2500, 0.2500, 0.7500) [4 per cell]  4 Te 3.03, 4 Pm 3.03
Pt (0.2500, 0.2500, 0.2500) [4 per cell]  4 Te 3.03, 4 Pm 3.03

---

A geometry-optimized PmTlPdPt structure. Source: the Alexandria database, functional GGA-PBE.

Formation energy   -0.636 eV per atom

Unit cell a=6.9598 b=6.9598 c=6.9598 alpha=90.00 beta=90.00 gamma=90.00
Last column: nearest neighbours and their distance in Å.
Space group F-43m (No. 216)
Unique sites:
Pm (0.0000, 0.0000, 0.0000) [4 per cell]  4 Pt 3.01, 4 Pd 3.01
Tl (0.0000, 0.0000, 0.5000) [4 per cell]  4 Pd 3.01, 4 Pt 3.01
Pd (0.2500, 0.2500, 0.7500) [4 per cell]  4 Tl 3.01, 4 Pm 3.01
Pt (0.2500, 0.2500, 0.2500) [4 per cell]  4 Tl 3.01, 4 Pm 3.01

---

A geometry-optimized PmYPdPt structure. Source: the Alexandria database, functional GGA-PBE.

Formation energy   -0.983 eV per atom

Unit cell a=7.1030 b=7.1030 c=7.1030 alpha=90.00 beta=90.00 gamma=90.00
Last column: nearest neighbours and their distance in Å.
Space group F-43m (No. 216)
Unique sites:
Pm (0.0000, 0.0000, 0.0000) [4 per cell]  4 Pd 3.08, 4 Pt 3.08
Y (0.0000, 0.0000, 0.5000) [4 per cell]  4 Pd 3.08, 4 Pt 3.08
Pd (0.2500, 0.2500, 0.2500) [4 per cell]  4 Pm 3.08, 4 Y 3.08
Pt (0.2500, 0.2500, 0.7500) [4 per cell]  4 Pm 3.08, 4 Y 3.08

---

A geometry-optimized PmYPdPt structure. Source: the Alexandria database, functional GGA-PBE.

Formation energy   -1.048 eV per atom

Unit cell a=4.5366 b=3.8320 c=10.7076 alpha=90.00 beta=90.00 gamma=90.00
Last column: nearest neighbours and their distance in Å.
Space group Amm2 (No. 38)
Unique sites:
Pm (0.0000, 0.0000, 0.0000) [2 per cell]  3 Pt 2.94-3.08, 4 Pd 3.02
Y (0.5000, 0.0000, 0.7253) [2 per cell]  3 Pd 2.98-3.05, 4 Pt 3.02
Pd (0.5000, 0.0000, 0.4474) [2 per cell]  2 Pt 2.93, 3 Y 2.98-3.05, 4 Pm 3.02
Pt (0.0000, 0.0000, 0.2748) [2 per cell]  2 Pd 2.93, 3 Pm 2.94-3.08, 4 Y 3.02

---

A geometry-optimized Pm2Zn2Pd5Pt structure. Source: the Alexandria database, functional GGA-PBE.

Formation energy   -0.635 eV per atom

Unit cell a=9.5709 b=9.5709 c=3.9205 alpha=90.00 beta=90.00 gamma=90.00
Last column: nearest neighbours and their distance in Å.
Space group P4/mbm (No. 127)
Unique sites:
Pm (0.1826, 0.3174, 0.0000) [4 per cell]  3 Zn 2.73-2.92
Zn (0.1154, 0.6154, 0.0000) [4 per cell]  6 Pd 2.51-2.65, 1 Pm 2.73
Pd (0.0000, 0.5000, 0.5000) [2 per cell]  4 Zn 2.51
Pd (0.0649, 0.7946, 0.5000) [8 per cell]  2 Zn 2.65, 2 Pt 2.84, 3 Pd 2.89-2.92
Pt (0.0000, 0.0000, 0.0000) [2 per cell]  8 Pd 2.84

---

A geometry-optimized PmZnPdPt structure. Source: the Alexandria database, functional GGA-PBE.

Formation energy   -0.824 eV per atom

Unit cell a=7.6455 b=4.4205 c=5.3769 alpha=90.00 beta=118.35 gamma=90.00
Last column: nearest neighbours and their distance in Å.
Space group Cm (No. 8)
Unique sites:
Pm (0.0000, 0.0000, 0.0000) [2 per cell]  4 Pd 3.01-3.08, 4 Pt 3.05-3.06
Zn (0.4943, 0.0000, 0.4830) [2 per cell]  3 Pt 2.62, 3 Pd 2.65
Pd (0.2121, 0.0000, 0.6364) [2 per cell]  3 Zn 2.65, 3 Pt 2.87-2.88
Pt (0.2856, 0.5000, 0.3562) [2 per cell]  3 Zn 2.62, 3 Pd 2.87-2.88

---

A geometry-optimized PmZn3PdPt structure. Source: the Alexandria database, functional GGA-PBE.

Formation energy   -0.430 eV per atom

Unit cell a=8.1789 b=11.1110 c=5.4542 alpha=90.00 beta=90.00 gamma=90.00
Last column: nearest neighbours and their distance in Å.
Space group Cmcm (No. 63)
Unique sites:
Pm (0.0000, 0.1976, 0.2500) [4 per cell]  1 Pt 2.79, 2 Pd 2.99, 2 Zn 3.05
Zn (0.0000, 0.3211, 0.7500) [4 per cell]  1 Pt 2.56, 1 Pd 2.60
Zn (0.2427, 0.0000, 0.0000) [8 per cell]  2 Pt 2.57, 2 Pd 2.60, 2 Zn 2.73
Pd (0.0000, 0.0870, 0.7500) [4 per cell]  5 Zn 2.60
Pt (0.0000, 0.4489, 0.2500) [4 per cell]  5 Zn 2.56-2.57, 1 Pm 2.79

---

A geometry-optimized Pm2Zn4PdPt3 structure. Source: the Alexandria database, functional GGA-PBE.

Formation energy   -0.745 eV per atom

Unit cell a=4.1852 b=4.1852 c=10.8670 alpha=90.00 beta=90.00 gamma=90.00
Last column: nearest neighbours and their distance in Å.
Space group P-4m2 (No. 115)
Unique sites:
Pm (0.0000, 0.5000, 0.2464) [2 per cell]  6 Pt 3.21-3.40, 8 Zn 3.21-3.46, 2 Pd 3.40
Zn (0.0000, 0.0000, 0.5000) [1 per cell]  4 Pt 2.59
Zn (0.0000, 0.5000, 0.8685) [2 per cell]  3 Pt 2.48-2.53, 2 Pd 2.53
Zn (0.5000, 0.5000, 0.5000) [1 per cell]  4 Pt 2.59
Pd (0.5000, 0.5000, 0.0000) [1 per cell]  4 Zn 2.53
Pt (0.0000, 0.0000, 0.0000) [1 per cell]  4 Zn 2.53
Pt (0.0000, 0.5000, 0.6401) [2 per cell]  5 Zn 2.48-2.59

---

A geometry-optimized Pm2Zn4Pd3Pt structure. Source: the Alexandria database, functional GGA-PBE.

Formation energy   -0.641 eV per atom

Unit cell a=4.2343 b=4.2343 c=10.6296 alpha=90.00 beta=90.00 gamma=90.00
Last column: nearest neighbours and their distance in Å.
Space group P-4m2 (No. 115)
Unique sites:
Pm (0.0000, 0.5000, 0.2433) [2 per cell]  8 Zn 3.22-3.45, 6 Pd 3.26-3.34, 2 Pt 3.34
Zn (0.0000, 0.0000, 0.5000) [1 per cell]  4 Pd 2.56
Zn (0.0000, 0.5000, 0.8671) [2 per cell]  3 Pd 2.47-2.55, 2 Pt 2.55
Zn (0.5000, 0.5000, 0.5000) [1 per cell]  4 Pd 2.56
Pd (0.0000, 0.0000, 0.0000) [1 per cell]  4 Zn 2.55
Pd (0.0000, 0.5000, 0.6346) [2 per cell]  5 Zn 2.47-2.56
Pt (0.5000, 0.5000, 0.0000) [1 per cell]  4 Zn 2.55

---

A geometry-optimized PmZnPdPt structure. Source: the Alexandria database, functional GGA-PBE.

Formation energy   -0.716 eV per atom

Unit cell a=6.7452 b=6.7452 c=6.7452 alpha=90.00 beta=90.00 gamma=90.00
Last column: nearest neighbours and their distance in Å.
Space group F-43m (No. 216)
Unique sites:
Pm (0.0000, 0.0000, 0.0000) [4 per cell]  4 Pd 2.92, 4 Pt 2.92
Zn (0.0000, 0.0000, 0.5000) [4 per cell]  4 Pd 2.92, 4 Pt 2.92
Pd (0.2500, 0.2500, 0.2500) [4 per cell]  4 Pm 2.92, 4 Zn 2.92
Pt (0.2500, 0.2500, 0.7500) [4 per cell]  4 Pm 2.92, 4 Zn 2.92

---

A geometry-optimized Pm2Zn2PdPt5 structure. Source: the Alexandria database, functional GGA-PBE.

Formation energy   -0.756 eV per atom

Unit cell a=9.5711 b=9.5711 c=3.9143 alpha=90.00 beta=90.00 gamma=90.00
Last column: nearest neighbours and their distance in Å.
Space group P4/mbm (No. 127)
Unique sites:
Pm (0.1800, 0.3200, 0.0000) [4 per cell]  3 Zn 2.72-2.92
Zn (0.1187, 0.6187, 0.0000) [4 per cell]  6 Pt 2.53-2.64, 1 Pm 2.72
Pd (0.0000, 0.0000, 0.0000) [2 per cell]  8 Pt 2.84
Pt (0.0000, 0.5000, 0.5000) [2 per cell]  4 Zn 2.53
Pt (0.0641, 0.7948, 0.5000) [8 per cell]  2 Zn 2.64, 2 Pd 2.84, 3 Pt 2.89-2.91

---

A geometry-optimized PmPuPd structure. Source: the Alexandria database, functional GGA-PBE.

Formation energy   -0.200 eV per atom

Unit cell a=6.9935 b=6.9935 c=6.9935 alpha=90.00 beta=90.00 gamma=90.00
Last column: nearest neighbours and their distance in Å.
Space group F-43m (No. 216)
Unique sites:
Pm (0.0000, 0.0000, 0.0000) [4 per cell]  4 Pd 3.03
Pu (0.0000, 0.0000, 0.5000) [4 per cell]  4 Pd 3.03
Pd (0.2500, 0.2500, 0.2500) [4 per cell]  4 Pm 3.03, 4 Pu 3.03